# 1
Material: Pr3Si2SbRh9
Method: DFT, PBE-GGA
State: optimized geometry

CIF file:
```
data_Pr3Si2SbRh9
_chemical_formula_sum 'Pr3 Si2 Sb1 Rh9'
_cell_length_a 6.2123
_cell_length_b 6.2123
_cell_length_c 9.1584
_cell_angle_alpha 90.00
_cell_angle_beta 90.00
_cell_angle_gamma 120.00
_space_group_name_H-M_alt 'P -3 m 1'
_space_group_IT_number 164
_space_group_name_Hall '-P 3 2"'
loop_
_atom_site_label
_atom_site_fract_x
_atom_site_fract_y
_atom_site_fract_z
Pr1 0.0000 0.0000 0.0000
Pr2 0.3333 0.6667 0.7127
Si1 0.3333 0.6667 0.1617
Sb1 0.0000 0.0000 0.5000
Rh1 0.0000 0.5000 0.0000
Rh2 0.1483 0.2966 0.2741
```

Calculated values
- Formation energy (no corrections): -0.550 eV per atom



# 2
Material: Pr2SiSbRh6
Method: DFT, PBE-GGA
State: optimized geometry

CIF file:
```
data_Pr2SiSbRh6
_chemical_formula_sum 'Pr2 Si1 Sb1 Rh6'
_cell_length_a 6.2315
_cell_length_b 6.2685
_cell_length_c 7.0603
_cell_angle_alpha 65.11
_cell_angle_beta 64.53
_cell_angle_gamma 60.55
_space_group_name_H-M_alt 'P -1'
_space_group_IT_number 2
loop_
_space_group_symop_operation_xyz
'x,y,z'
'-x,-y,-z'
loop_
_atom_site_label
_atom_site_fract_x
_atom_site_fract_y
_atom_site_fract_z
Pr1 0.2467 0.2498 0.2614
Si1 0.0000 0.0000 0.0000
Sb1 0.5000 0.5000 0.5000
Rh1 0.2406 0.6707 0.8428
Rh2 0.2436 0.2390 0.8280
Rh3 0.3200 0.7627 0.1648
```

Calculated values
- Formation energy (no corrections): -0.535 eV per atom



# 3
Material: Pr2Sn3SbRh4
Method: DFT, PBE-GGA
State: optimized geometry

CIF file:
```
data_Pr2Sn3SbRh4
_chemical_formula_sum 'Pr2 Sn3 Sb1 Rh4'
_cell_length_a 4.5240
_cell_length_b 4.5240
_cell_length_c 10.7084
_cell_angle_alpha 90.00
_cell_angle_beta 90.00
_cell_angle_gamma 90.00
_space_group_name_H-M_alt 'P -4 m 2'
_space_group_IT_number 115
loop_
_space_group_symop_operation_xyz
'x,y,z'
'y,-x,-z'
'-x,-y,z'
'-y,x,-z'
'-x,y,z'
'-y,-x,-z'
'x,-y,z'
'y,x,-z'
loop_
_atom_site_label
_atom_site_fract_x
_atom_site_fract_y
_atom_site_fract_z
Pr1 0.0000 0.5000 0.2499
Sn1 0.0000 0.0000 0.0000
Sn2 0.0000 0.5000 0.6298
Sb1 0.5000 0.5000 0.0000
Rh1 0.0000 0.0000 0.5000
Rh2 0.0000 0.5000 0.8727
Rh3 0.5000 0.5000 0.5000
```

Calculated values
- Formation energy (no corrections): -0.732 eV per atom



no.,DOS(E_F) (states/eV/f.u.),energy (eV per atom)
1,8.15,-6.91
2,6.13,-6.86
3,6.19,-6.24